Record 1
The following is a DFT calculation (PBE-GGA) of a relaxed GdTmSi2Ir4 crystal.

Cell: 7.0244 5.4069 5.4069 Å, 41.28 90.00 90.00°
Closest atoms and distances in Å follow each position.
Element x y z (fractional)
Si  0.0000  0.7233  0.7233  6 Ir 2.47-2.50
Si  0.5000  0.2776  0.2776  6 Ir 2.50
Ir  0.2971  0.8546  0.8546  3 Si 2.47-2.50
Ir  0.1996  0.1447  0.1447  3 Si 2.50
Ir  0.8004  0.1447  0.1447  3 Si 2.50
Ir  0.7029  0.8546  0.8546  3 Si 2.47-2.50
Tm  0.0000  0.4428  0.4428  3 Si 2.84-2.93, 8 Ir 2.96-3.13
Gd  0.5000  0.5578  0.5578  3 Si 2.84-2.93, 8 Ir 2.98-3.15

## Properties
As for the magnetic moment: 0.0 μB/cell. The crystal system is orthorhombic. For the total energy, the calculation gives -7.750 eV/atom. Its space group is Amm2 (38).



Record 2
The following is a DFT calculation (PBE-GGA) of a relaxed GdYSi2Ir4 crystal.

Cell: 7.0398 5.4394 5.4394 Å, 41.21 90.00 90.00°
Closest atoms and distances in Å follow each position.
Element x y z (fractional)
Gd  0.0000  0.4423  0.4423  3 Si 2.85-2.95, 8 Ir 2.99-3.16
Si  0.5000  0.2771  0.2771  6 Ir 2.49-2.50
Si  0.0000  0.7224  0.7224  6 Ir 2.50
Ir  0.2999  0.8531  0.8531  3 Si 2.50
Ir  0.2007  0.1473  0.1473  3 Si 2.49-2.50
Ir  0.7001  0.8531  0.8531  3 Si 2.50
Ir  0.7993  0.1473  0.1473  3 Si 2.49-2.50
Y  0.5000  0.5574  0.5574  3 Si 2.85-2.94, 8 Ir 2.99-3.16

## Properties
As for the magnetic moment: 0.0 μB/cell. The crystal system is orthorhombic. For the total energy, the calculation gives -7.979 eV/atom. Its space group is Amm2 (38).